! AlCrNi2O PBE+U relaxed; values from VASP
! Space group = P4/mmm (123)
! VASP energy = -2.256 eV/atom
! Magnetic moment = 0.9994 μB/atom
&SYSTEM
  ibrav = 0, nat = 5, ntyp = 4
/
ATOMIC_SPECIES
Ni 58.69 Ni.upf
Al 26.98 Al.upf
O 16.00 O.upf
Cr 52.00 Cr.upf
ATOMIC_POSITIONS crystal
Ni 0.000 0.000 0.500
Ni 0.500 0.000 0.000
Al 0.000 0.500 0.000
O 0.500 0.500 0.500
Cr 0.000 0.000 0.000
CELL_PARAMETERS angstrom
4.357 0.000 0.000
0.000 4.857 0.000
0.000 0.000 4.357